The following is a DFT calculation (PBE with a Hubbard U) of a relaxed structure of BaCoWO5.

abc: 7.163 9.695 7.632
angles: 90.00 113.84 90.00
Space group C2/c (No. 15)
Unique sites:
Ba  0.000  0.169  0.250
Co  0.000  0.189  0.750
W  0.000  0.500  0.000
O  0.000  0.450  0.250
O  0.086  0.312  0.589
O  0.217  0.059  0.908

Summary:
DOS(E_F): 0.0 states/eV/cell
magnetization: 12.001 Bohr magnetons per cell
electronic total energy: -6.976 eV/atom